(1)
Nd2NiGe4Pd3 PBE relaxed; VASP energy = -56.98 eV for the cell shown
1.0
4.305 0.000 0.000
0.000 4.305 0.000
0.000 0.000 10.201
Nd Ni Ge Pd
2 1 4 3
Direct
0.000 0.500 0.245 Nd
0.500 0.000 0.755 Nd
0.500 0.500 0.000 Ni
0.000 0.000 0.500 Ge
0.000 0.500 0.877 Ge
0.500 0.000 0.123 Ge
0.500 0.500 0.500 Ge
0.000 0.000 0.000 Pd
0.000 0.500 0.634 Pd
0.500 0.000 0.366 Pd

(2)
PmNdNiGe PBE relaxed; VASP energy = -21.70 eV for the cell shown
1.0
0.000 3.598 3.598
3.598 0.000 3.598
3.598 3.598 0.000
Pm Nd Ni Ge
1 1 1 1
Direct
0.000 0.000 0.000 Pm
0.500 0.500 0.500 Nd
0.750 0.750 0.750 Ni
0.250 0.250 0.250 Ge

(3)
Pm2NdNi2Ge2 PBE relaxed; VASP energy = -39.26 eV for the cell shown
1.0
2.137 1.234 9.948
-2.137 1.234 9.948
0.000 -2.468 9.948
Pm Nd Ni Ge
2 1 2 2
Direct
0.122 0.122 0.122 Pm
0.878 0.878 0.878 Pm
0.000 0.000 0.000 Nd
0.397 0.397 0.397 Ni
0.603 0.603 0.603 Ni
0.266 0.266 0.266 Ge
0.734 0.734 0.734 Ge

(4)
PmNd2Ni2Ge2 PBE relaxed; VASP energy = -39.28 eV for the cell shown
1.0
2.109 1.217 10.859
-2.109 1.217 10.859
0.000 -2.435 10.859
Pm Nd Ni Ge
1 2 2 2
Direct
0.000 0.000 0.000 Pm
0.115 0.115 0.115 Nd
0.885 0.885 0.885 Nd
0.392 0.392 0.392 Ni
0.608 0.608 0.608 Ni
0.272 0.272 0.272 Ge
0.728 0.728 0.728 Ge